PrPu2UN4: optimized geometry, GGA-PBE.

It has space group P2/m (No. 10), with a = 6.067 Å, b = 3.521 Å, c = 6.138 Å, α = 90.00°, β = 109.35° and γ = 90.00°. The distinct sites, in fractional coordinates, are Pr at (0.000, 0.000, 0.000), Pu at (0.500, 0.000, 0.500), Pu at (0.500, 0.500, 0.000), U at (0.000, 0.500, 0.500), N at (0.239, 0.000, 0.723) and N at (0.255, 0.500, 0.283).

The crystal system is monoclinic. The uncorrected formation energy is -1.287 eV/atom. Its uncorrected energy is -88.33 eV for the cell shown.

ScBSBr2: optimized geometry, GGA-PBE.

It has space group P4/mmm (No. 123), with a = 4.704 Å, b = 4.704 Å, c = 4.318 Å, α = 90.00°, β = 90.00° and γ = 90.00°. The distinct sites, in fractional coordinates, are Sc at (0.000, 0.000, 0.000), B at (0.500, 0.500, 0.500), S at (0.500, 0.500, 0.000) and Br at (0.000, 0.500, 0.500).

The crystal system is tetragonal. The uncorrected formation energy is 0.121 eV/atom. Its uncorrected energy is -19.88 eV for the cell shown.

YAg2AuO4: optimized geometry, GGA-PBE.

It has space group I-4 (No. 82), with a = 6.051 Å, b = 6.051 Å, c = 6.466 Å, α = 90.00°, β = 90.00° and γ = 90.00°. The distinct sites, in fractional coordinates, are Y at (0.000, 0.000, 0.000), Ag at (0.000, 0.000, 0.500), Ag at (0.000, 0.500, 0.250), Au at (0.000, 0.500, 0.750) and O at (0.176, 0.790, 0.769).

The crystal system is tetragonal. The uncorrected formation energy is -1.005 eV/atom. Its uncorrected energy is -86.63 eV for the cell shown.

Y2RuI: optimized geometry, GGA-PBE.

It has space group P4/mmm (No. 123), with a = 3.504 Å, b = 3.504 Å, c = 8.377 Å, α = 90.00°, β = 90.00° and γ = 90.00°. The distinct sites, in fractional coordinates, are Y at (0.000, 0.000, 0.197), Ru at (0.500, 0.500, 0.000) and I at (0.500, 0.500, 0.500).

As for the relative energy among the computed polymorphs: 53 meV/atom. The crystal system is tetragonal. The uncorrected formation energy is -0.532 eV/atom. Its uncorrected energy is -25.88 eV for the cell shown.

The highest uncorrected energy belongs to which entry?
ScBSBr2

Among the records above, which one has the lowest uncorrected energy?
PrPu2UN4

Please write out number 2 again, unchanged.
ScBSBr2: optimized geometry, GGA-PBE.

It has space group P4/mmm (No. 123), with a = 4.704 Å, b = 4.704 Å, c = 4.318 Å, α = 90.00°, β = 90.00° and γ = 90.00°. The distinct sites, in fractional coordinates, are Sc at (0.000, 0.000, 0.000), B at (0.500, 0.500, 0.500), S at (0.500, 0.500, 0.000) and Br at (0.000, 0.500, 0.500).

The crystal system is tetragonal. The uncorrected formation energy is 0.121 eV/atom. Its uncorrected energy is -19.88 eV for the cell shown.